No. 1
Computed, not measured: a geometry-optimized CsAgSn2P structure at the PBE level of DFT.

Cell: 5.5332 5.2050 5.5332 Å, 90.00 90.00 90.00°
Atoms (fractional coordinates):
Cs: 0.5000 0.5000 0.5000
P: 0.0000 0.5000 0.0000
Sn: 0.0000 0.0000 0.5000
Sn: 0.5000 0.0000 0.0000
Ag: 0.0000 0.0000 0.0000

Values from the calculation:
**Total magnetization**: 0.0 μB per formula unit
**Energy relative to the elements**: 1.98 eV per formula unit
**SG**: No. 123
**Crystal system**: tetragonal



No. 2
Computed, not measured: a geometry-optimized Pr2SmCu structure at the PBE level of DFT.

Cell: 5.0344 6.4737 7.8176 Å, 90.00 90.00 112.74°
Atoms (fractional coordinates):
Pr: 0.3548 0.7100 0.5294
Pr: 0.6452 0.2900 0.4706
Pr: 0.3548 0.7100 0.9706
Pr: 0.6452 0.2900 0.0294
Sm: 0.9539 0.9086 0.2500
Sm: 0.0461 0.0914 0.7500
Cu: 0.7999 0.6000 0.7500
Cu: 0.2001 0.4000 0.2500

Values from the calculation:
**Total magnetization**: 0.0 μB per formula unit
**Energy relative to the elements**: -0.13 eV per formula unit
**Excess energy over the best structure of this formula in the dataset**: 2.17 kJ per mole of atoms
**SG**: No. 11
**Crystal system**: monoclinic



No. 3
Computed, not measured: a geometry-optimized YHo3Co8 structure at the PBE level of DFT.

Cell: 5.0585 5.0585 8.7672 Å, 73.23 73.23 60.00°
Atoms (fractional coordinates):
Y: 0.8750 0.8750 0.3750
Ho: 0.3750 0.3750 0.8750
Ho: 0.0002 0.0002 0.9995
Ho: 0.4998 0.4998 0.5005
Co: 0.9381 0.4377 0.1865
Co: 0.4363 0.9377 0.6883
Co: 0.4377 0.4377 0.1865
Co: 0.9377 0.9377 0.6883
Co: 0.1874 0.1874 0.4379
Co: 0.6875 0.6875 0.9375
Co: 0.4377 0.9381 0.1865
Co: 0.9377 0.4363 0.6883

Values from the calculation:
**Total magnetization**: 7.5 μB per formula unit
**Energy relative to the elements**: -2.55 eV per formula unit
**SG**: No. 160
**Crystal system**: trigonal



No. 4
Computed, not measured: a geometry-optimized FeCoMo structure at the PBE level of DFT.

Cell: 4.1581 4.1581 2.5660 Å, 90.00 90.00 120.00°
Atoms (fractional coordinates):
Co: 0.0000 0.0000 0.0508
Fe: 0.6667 0.3333 0.2953
Mo: 0.3333 0.6667 0.6539

Values from the calculation:
**Total magnetization**: 3.6 μB per formula unit
**Energy relative to the elements**: 0.37 eV per formula unit
**Excess energy over the best structure of this formula in the dataset**: 11.38 kJ per mole of atoms
**SG**: No. 156
**Crystal system**: trigonal



No. 5
Computed, not measured: a geometry-optimized Tm5Pt2 structure at the PBE level of DFT.

Cell: 6.6975 6.9745 8.7854 Å, 113.39 112.41 90.00°
Atoms (fractional coordinates):
Tm: 0.0861 0.2279 0.1722
Tm: 0.9139 0.7721 0.8278
Tm: 0.5861 0.9444 0.1722
Tm: 0.4139 0.0556 0.8278
Tm: 0.4774 0.7274 0.4547
Tm: 0.0226 0.2726 0.5453
Tm: 0.5226 0.2726 0.5453
Tm: 0.9774 0.7274 0.4547
Tm: 0.7500 0.5000 0.0000
Tm: 0.2500 0.5000 0.0000
Pt: 0.3798 0.6301 0.7597
Pt: 0.6202 0.3699 0.2403
Pt: 0.8798 0.1296 0.7597
Pt: 0.1202 0.8704 0.2403

Values from the calculation:
**Total magnetization**: 0.0 μB per formula unit
**Energy relative to the elements**: -5.38 eV per formula unit
**Excess energy over the best structure of this formula in the dataset**: 8.02 kJ per mole of atoms
**SG**: No. 72
**Crystal system**: orthorhombic



No. 6
Computed, not measured: a geometry-optimized Er8NiPt2 structure at the PBE level of DFT.

Cell: 4.9345 6.6974 8.9154 Å, 103.93 106.07 90.00°
Atoms (fractional coordinates):
Er: 0.4091 0.5510 0.8182
Er: 0.6631 0.9713 0.3262
Er: 0.7940 0.6809 0.5881
Er: 0.9686 0.2144 0.9372
Er: 0.2060 0.3191 0.4119
Er: 0.3369 0.0287 0.6738
Er: 0.5909 0.4490 0.1818
Er: 0.0314 0.7856 0.0628
Ni: 0.5000 0.0000 0.0000
Pt: 0.8097 0.2744 0.6193
Pt: 0.1903 0.7256 0.3807

Values from the calculation:
**Total magnetization**: 0.0 μB per formula unit
**Energy relative to the elements**: -6.22 eV per formula unit
**Excess energy over the best structure of this formula in the dataset**: 0.00 kJ per mole of atoms
**SG**: No. 12
**Crystal system**: monoclinic



No. 7
Computed, not measured: a geometry-optimized La4BiTeS2 structure at the PBE level of DFT.

Cell: 8.8059 8.8056 8.8426 Å, 120.13 120.13 90.00°
Atoms (fractional coordinates):
La: 0.2838 0.7607 0.0223
La: 0.7393 0.2162 0.4777
La: 0.2608 0.7839 0.5223
La: 0.7161 0.2392 0.9776
La: 0.7389 0.7611 0.0232
La: 0.7390 0.7611 0.4769
La: 0.2610 0.2389 0.5231
La: 0.2610 0.2390 0.9768
Bi: 0.0000 0.5000 0.0000
Bi: 0.0000 0.5000 0.5000
Te: 0.5000 0.5000 0.5000
Te: 0.0000 0.0000 0.0000
S: 0.5000 0.0000 0.0000
S: 0.5000 0.0000 0.5000
S: 0.0000 0.0000 0.5000
S: 0.5000 0.5000 0.0000

Values from the calculation:
**Total magnetization**: 0.0 μB per formula unit
**SG**: No. 74
**Formation energy from raw total energies**: -1715 meV per atom
**Crystal system**: orthorhombic



No. 8
Computed, not measured: a geometry-optimized Li3Cu7Rh structure at the PBE level of DFT.

Cell: 4.8433 6.5281 6.5281 Å, 82.31 120.93 120.93°
Atoms (fractional coordinates):
Li: 0.0000 0.7692 0.2308
Li: 0.5000 0.0000 0.0000
Li: 0.0000 0.2308 0.7692
Cu: 0.3327 0.1928 0.1928
Cu: 0.3328 0.0680 0.5796
Cu: 0.6672 0.4204 0.9320
Cu: 0.3328 0.5796 0.0680
Cu: 0.0000 0.5000 0.5000
Cu: 0.6672 0.9320 0.4204
Cu: 0.6673 0.8072 0.8072
Rh: 0.5000 0.5000 0.5000

Values from the calculation:
**Total magnetization**: 0.0 μB per formula unit
**Energy relative to the elements**: 2.22 eV per formula unit
**SG**: No. 12
**Crystal system**: monoclinic



No. 9
Computed, not measured: a geometry-optimized Ta2Nb2Pt structure at the PBE level of DFT.

Cell: 6.9173 6.9173 3.9124 Å, 90.00 90.00 90.00°
Atoms (fractional coordinates):
Nb: 0.1690 0.6690 0.5000
Nb: 0.6690 0.8310 0.5000
Nb: 0.8310 0.3310 0.5000
Nb: 0.3310 0.1690 0.5000
Pt: 0.0000 0.0000 0.0000
Pt: 0.5000 0.5000 0.0000
Ta: 0.3629 0.8629 0.0000
Ta: 0.8629 0.6371 0.0000
Ta: 0.6371 0.1371 0.0000
Ta: 0.1371 0.3629 0.0000

Values from the calculation:
**Total magnetization**: 0.0 μB per formula unit
**Energy relative to the elements**: 0.76 eV per formula unit
**Excess energy over the best structure of this formula in the dataset**: 12.33 kJ per mole of atoms
**SG**: No. 127
**Crystal system**: tetragonal



No. 10
Computed, not measured: a geometry-optimized Hf3IrCl structure at the PBE level of DFT.

Cell: 4.6177 4.6177 4.6177 Å, 90.00 90.00 90.00°
Atoms (fractional coordinates):
Ir: 0.5000 0.5000 0.5000
Hf: 0.0000 0.5000 0.0000
Hf: 0.0000 0.0000 0.5000
Hf: 0.5000 0.0000 0.0000
Cl: 0.0000 0.0000 0.0000

Values from the calculation:
**Total magnetization**: 0.0 μB per formula unit
**Excess energy over the best structure of this formula in the dataset**: 0.00 kJ per mole of atoms
**SG**: No. 221
**Formation energy from raw total energies**: 152 meV per atom
**Crystal system**: cubic



No. 11
Computed, not measured: a geometry-optimized Cs4RbAuO structure at the PBE level of DFT.

Cell: 8.4385 8.8260 14.0851 Å, 90.00 114.56 90.00°
Atoms (fractional coordinates):
Cs: 0.0318 0.4902 0.6912
Cs: 0.9682 0.9902 0.3088
Cs: 0.9682 0.5098 0.3088
Cs: 0.0318 0.0098 0.6912
Cs: 0.3481 0.7500 0.2172
Cs: 0.6519 0.2500 0.7828
Cs: 0.3989 0.7500 0.5354
Cs: 0.6011 0.2500 0.4646
Rb: 0.6644 0.7500 0.9506
Rb: 0.3356 0.2500 0.0494
Au: 0.7763 0.7500 0.4633
Au: 0.2237 0.2500 0.5367
O: 0.1727 0.7500 0.3358
O: 0.8273 0.2500 0.6642

Values from the calculation:
**Total magnetization**: 0.0 μB per formula unit
**SG**: No. 11
**Formation energy from raw total energies**: -523 meV per atom
**Crystal system**: monoclinic



No. 12
Computed, not measured: a geometry-optimized Ce2TiSe5 structure at the PBE level of DFT.

Cell: 7.5215 8.4294 11.5975 Å, 90.00 90.00 90.00°
Atoms (fractional coordinates):
Ce: 0.4262 0.4986 0.8299
Ce: 0.5738 0.5014 0.1701
Ce: 0.9262 0.5014 0.6701
Ce: 0.5738 0.9986 0.1701
Ce: 0.0738 0.4986 0.3299
Ce: 0.4262 0.0014 0.8299
Ce: 0.0738 0.0014 0.3299
Ce: 0.9262 0.9986 0.6701
Ti: 0.4224 0.2500 0.5086
Ti: 0.5776 0.7500 0.4914
Ti: 0.9224 0.7500 0.9914
Ti: 0.0776 0.2500 0.0086
Se: 0.0582 0.2500 0.5070
Se: 0.9418 0.7500 0.4930
Se: 0.5582 0.7500 0.9930
Se: 0.4418 0.2500 0.0070
Se: 0.3185 0.9656 0.5662
Se: 0.6815 0.0344 0.4338
Se: 0.8185 0.0344 0.9338
Se: 0.6815 0.4656 0.4338
Se: 0.1815 0.9656 0.0662
Se: 0.3185 0.5344 0.5662
Se: 0.1815 0.5344 0.0662
Se: 0.8185 0.4656 0.9338
Se: 0.1451 0.2500 0.7916
Se: 0.8549 0.7500 0.2084
Se: 0.6451 0.7500 0.7084
Se: 0.3549 0.2500 0.2916
Se: 0.6312 0.2500 0.6937
Se: 0.3688 0.7500 0.3063
Se: 0.1312 0.7500 0.8063
Se: 0.8688 0.2500 0.1937

Values from the calculation:
**Total magnetization**: 2.0 μB per formula unit
**Excess energy over the best structure of this formula in the dataset**: 0.00 kJ per mole of atoms
**SG**: No. 62
**Formation energy from raw total energies**: -1549 meV per atom
**Crystal system**: orthorhombic